KScRu2: optimized geometry, PBE.

Computed properties:
DOS(E_F) ... 3.76 states/eV per cell
Space-group type ... P4/mmm
Calculated total energy ... -5.490 eV/atom

Cell: 4.4272 4.1317 4.1317 Å, 90.00 90.00 90.00°
Last column: nearest neighbours and their distance in Å.
Positions (direct):
K: 0.5000 0.0000 0.5000  4 Sc 2.92, 8 Ru 3.03
Sc: 0.5000 0.5000 0.0000  4 K 2.92, 8 Ru 3.03
Ru: 0.0000 0.0000 0.0000  4 Ru 2.92, 4 K 3.03, 4 Sc 3.03
Ru: 0.0000 0.5000 0.5000  4 Ru 2.92, 4 K 3.03, 4 Sc 3.03

KScRu2: optimized geometry, PBE.

Computed properties:
DOS(E_F) ... 3.83 states/eV per cell
Space-group type ... Pmmm
Calculated total energy ... -5.551 eV/atom

Cell: 3.1300 4.8974 4.7199 Å, 90.00 90.00 90.00°
Last column: nearest neighbours and their distance in Å.
Positions (direct):
Ru: 0.5000 0.5000 0.0000  4 K 2.83, 6 Ru 2.91-3.13
Ru: 0.0000 0.0000 0.0000  4 Sc 2.83, 6 Ru 2.91-3.13
K: 0.0000 0.5000 0.5000  4 Ru 2.83, 4 Sc 2.91, 2 K 3.13
Sc: 0.5000 0.0000 0.5000  4 Ru 2.83, 4 K 2.91, 2 Sc 3.13

KScRu2: optimized geometry, PBE.

Computed properties:
DOS(E_F) ... 4.74 states/eV per cell
Space-group type ... C2/m
Calculated total energy ... -5.596 eV/atom

Cell: 5.4570 5.5298 2.8508 Å, 78.26 83.68 117.71°
Last column: nearest neighbours and their distance in Å.
Positions (direct):
K: 0.5000 0.5000 0.0000  4 Ru 2.84, 2 K 2.85, 2 Sc 2.94
Ru: 0.5000 0.0000 0.5000  2 Sc 2.84, 2 K 2.84, 4 Ru 2.85-2.94
Ru: 0.0000 0.0000 0.0000  2 K 2.84, 2 Sc 2.84, 4 Ru 2.85-2.94
Sc: 0.0000 0.5000 0.5000  4 Ru 2.84, 2 Sc 2.85, 2 K 2.94

KScRu2: optimized geometry, PBE.

Computed properties:
DOS(E_F) ... 3.69 states/eV per cell
Space-group type ... Cmmm
Calculated total energy ... -5.581 eV/atom

Cell: 5.2769 5.2769 3.0657 Å, 90.00 90.00 119.96°
Last column: nearest neighbours and their distance in Å.
Positions (direct):
Sc: 0.5000 0.0000 0.5000  2 K 2.64
Ru: 0.0000 0.0000 0.0000  2 Ru 2.64
Ru: 0.5000 0.5000 0.0000  2 Ru 2.64
K: 0.0000 0.5000 0.5000  2 Sc 2.64

KSc2Ru: optimized geometry, PBE.

Computed properties:
DOS(E_F) ... 3.75 states/eV per cell
Space-group type ... Cm
Calculated total energy ... -5.729 eV/atom

Cell: 3.9478 3.9478 9.4988 Å, 77.84 77.84 59.89°
Last column: nearest neighbours and their distance in Å.
Positions (direct):
Ru: 0.3325 0.3325 0.0005  6 Sc 2.59
Sc: 0.9545 0.9545 0.1336  3 Ru 2.59
Sc: 0.7108 0.7108 0.8667  3 Ru 2.59
K: 0.5022 0.5022 0.4993  6 K 3.94-3.95, 6 Sc 4.05-4.08

KScRu2: optimized geometry, PBE.

Computed properties:
DOS(E_F) ... 2.92 states/eV per cell
Space-group type ... Pmm2
Calculated total energy ... -6.169 eV/atom

Cell: 2.9781 3.7585 8.6751 Å, 90.00 90.00 90.00°
Last column: nearest neighbours and their distance in Å.
Positions (direct):
Sc: 0.0000 0.0000 0.3871  1 Ru 2.49
K: 0.5000 0.5000 0.8004  2 K 2.98
Ru: 0.0000 0.0000 0.1006  1 Sc 2.49, 4 Ru 2.58
Ru: 0.5000 0.5000 0.2119  4 Ru 2.58, 4 Sc 2.84

KSc2Ru: optimized geometry, PBE.

Computed properties:
DOS(E_F) ... 4.61 states/eV per cell
Space-group type ... C2/m
Calculated total energy ... -5.118 eV/atom

Cell: 7.6677 4.9262 3.5676 Å, 89.78 62.59 127.70°
Last column: nearest neighbours and their distance in Å.
Positions (direct):
Ru: 0.5000 0.5000 0.0000  8 Sc 3.04-3.05
Sc: 0.0000 0.0000 0.0000  4 K 3.04-3.05, 4 Ru 3.04-3.05
Sc: 0.5000 0.0000 0.5000  4 Ru 3.04-3.05, 4 K 3.04-3.05
K: 0.0000 0.5000 0.5000  8 Sc 3.04-3.05

KScRu2: optimized geometry, PBE.

Computed properties:
DOS(E_F) ... 5.66 states/eV per cell
Space-group type ... Fm-3m
Calculated total energy ... -5.546 eV/atom

Cell: 4.7272 4.7272 4.7272 Å, 60.00 60.00 60.00°
Last column: nearest neighbours and their distance in Å.
Positions (direct):
Sc: 0.5000 0.5000 0.5000  8 Ru 2.89
Ru: 0.7500 0.7500 0.7500  4 K 2.89, 4 Sc 2.89
Ru: 0.2500 0.2500 0.2500  4 K 2.89, 4 Sc 2.89
K: 0.0000 0.0000 0.0000  8 Ru 2.89